Zr2AlAs: optimized geometry, GGA-PBE.

**SG**: P4mm, No. 99
**E_tot**: -0.2465 Ha/atom
**ΔE to the lowest computed polymorph**: 0.4543 eV/atom

Lattice parameters (Å, degrees): 3.3933 3.3933 6.8832 90.00 90.00 90.00
Atoms (fractional coordinates):
Zr 0.0000 0.0000 0.0000
Zr 0.5000 0.5000 0.3103
Al 0.0000 0.0000 0.5695
As 0.5000 0.5000 0.7757